! SCAN Cr2ReRu, PBEsol geometry; values from VASP
! Total magnetization = 0.00 μB per cell
! Symmetry = P4mm
! DFT total energy = -35.60 eV per atom
! Formation energy = 0.0731 eV/atom
! DOS(E_F) = 0.8579 states/eV per atom
&SYSTEM
  ibrav = 0, nat = 4, ntyp = 3
/
ATOMIC_SPECIES
Re 186.21 Re.upf
Cr 52.00 Cr.upf
Ru 101.07 Ru.upf
ATOMIC_POSITIONS angstrom
Re 0.0000 0.0000 3.0586
Cr 1.4167 1.4167 1.3548
Cr 0.0000 0.0000 0.1926
Ru 1.4167 1.4167 4.8104
CELL_PARAMETERS angstrom
2.8335 0.0000 0.0000
0.0000 2.8335 0.0000
0.0000 0.0000 6.2776


! SCAN TlMo4Se, PBEsol geometry; values from VASP
! Total magnetization = 0.00 μB per cell
! ΔE_f (raw) = 16.42 kcal/mol of atoms
! Symmetry = F-43m
! DFT total energy = -37.95 eV per atom
! DOS(E_F) = 0.5942 states/eV per atom
&SYSTEM
  ibrav = 0, nat = 6, ntyp = 3
/
ATOMIC_SPECIES
Mo 95.94 Mo.upf
Se 78.96 Se.upf
Tl 204.38 Tl.upf
ATOMIC_POSITIONS angstrom
Mo -5.4739 3.9529 2.3950
Mo -4.3017 1.9125 1.2803
Mo -6.6127 2.7273 0.3998
Mo -6.4421 1.5577 2.7199
Se -8.5614 3.8064 2.5481
Tl 0.0000 0.0000 0.0000
CELL_PARAMETERS angstrom
-4.6909 1.6538 -1.7873
-4.3448 -0.7202 2.9221
-2.3795 4.1416 2.2627